#P
The following is a PBE-GGA calculation of an optimized crystal structure of AcHo3Er7, from the Alexandria database.

## Properties
Its crystal system is orthorhombic. The total magnetization comes out at 0.005 μB/atom. For the mass density, the calculation gives 8.6 g/cm3.

```
data_AcHo3Er7
_chemical_formula_sum 'Ac2 Ho6 Er14'
_symmetry_space_group_name_H-M 'I m m m'
_symmetry_Int_Tables_number 71
_symmetry_space_group_name_Hall '-I 2 2'
_cell_length_a 5.9051
_cell_length_b 11.0215
_cell_length_c 11.2093
_cell_angle_alpha 90.00
_cell_angle_beta 90.00
_cell_angle_gamma 90.00
loop_
_atom_site_label
_atom_site_type_symbol
_atom_site_fract_x
_atom_site_fract_y
_atom_site_fract_z
Ac1 Ac 0.0000 0.0000 0.0000
Ho1 Ho 0.0000 0.2098 0.5000
Ho2 Ho 0.0000 0.5000 0.0000
Er1 Er 0.0000 0.0000 0.3042
Er2 Er 0.0000 0.3098 0.2137
Er3 Er 0.0000 0.5000 0.5000
```


#Q
The following is a PBE-GGA calculation of an optimized crystal structure of AcHo3Er7, from the Alexandria database.

## Properties
Its crystal system is monoclinic. The total magnetization comes out at 0.000 μB/atom. For the mass density, the calculation gives 8.8 g/cm3.

```
data_AcHo3Er7
_chemical_formula_sum 'Ac1 Ho3 Er7'
_symmetry_space_group_name_H-M 'P 1 2/m 1'
_symmetry_Int_Tables_number 10
_symmetry_space_group_name_Hall '-P 2y'
_cell_length_a 6.9525
_cell_length_b 5.5461
_cell_length_c 9.7984
_cell_angle_alpha 90.00
_cell_angle_beta 108.30
_cell_angle_gamma 90.00
loop_
_atom_site_label
_atom_site_type_symbol
_atom_site_fract_x
_atom_site_fract_y
_atom_site_fract_z
Ac1 Ac 0.0000 0.0000 0.0000
Ho1 Ho 0.2743 0.5000 0.4916
Ho2 Ho 0.5000 0.0000 0.0000
Er1 Er 0.0000 0.0000 0.5000
Er2 Er 0.1489 0.5000 0.7885
Er3 Er 0.3321 0.5000 0.1447
Er4 Er 0.4377 0.0000 0.3334
```


Which is the most stable structure? #Q is the most stable.


#P
The following is a PBE-GGA calculation of an optimized crystal structure of AcHo7Er2, from the Alexandria database.

## Properties
Its crystal system is orthorhombic. The total magnetization comes out at 0.000 μB/atom. For the mass density, the calculation gives 7.2 g/cm3.

```
data_AcHo7Er2
_chemical_formula_sum 'Ac2 Ho14 Er4'
_symmetry_space_group_name_H-M 'C m m m'
_symmetry_Int_Tables_number 65
_symmetry_space_group_name_Hall '-C 2 2'
_cell_length_a 8.7719
_cell_length_b 15.8187
_cell_length_c 5.7260
_cell_angle_alpha 90.00
_cell_angle_beta 90.00
_cell_angle_gamma 90.00
loop_
_atom_site_label
_atom_site_type_symbol
_atom_site_fract_x
_atom_site_fract_y
_atom_site_fract_z
Ac1 Ac 0.0000 0.0000 0.0000
Ho1 Ho 0.0000 0.2290 0.0000
Ho2 Ho 0.0000 0.5000 0.5000
Ho3 Ho 0.1778 0.1202 0.5000
Er1 Er 0.0000 0.2973 0.5000
```


#Q
The following is a PBE-GGA calculation of an optimized crystal structure of AcHo7Er2, from the Alexandria database.

## Properties
Its crystal system is monoclinic. The total magnetization comes out at 0.000 μB/atom. For the mass density, the calculation gives 8.8 g/cm3.

```
data_AcHo7Er2
_chemical_formula_sum 'Ac2 Ho14 Er4'
_symmetry_space_group_name_H-M 'C 1 2/m 1'
_symmetry_Int_Tables_number 12
_symmetry_space_group_name_Hall '-C 2y'
_cell_length_a 16.7330
_cell_length_b 5.4462
_cell_length_c 7.0741
_cell_angle_alpha 90.00
_cell_angle_beta 90.21
_cell_angle_gamma 90.00
loop_
_atom_site_label
_atom_site_type_symbol
_atom_site_fract_x
_atom_site_fract_y
_atom_site_fract_z
Ac1 Ac 0.0000 0.0000 0.0000
Ho1 Ho 0.0000 0.0000 0.5000
Ho2 Ho 0.1114 0.5000 0.7448
Ho3 Ho 0.1995 0.0000 0.4994
Ho4 Ho 0.2040 0.0000 0.9995
Er1 Er 0.1119 0.5000 0.2533
```


Which is the most stable structure? #Q is the most stable.


#P
The following is a PBE-GGA calculation of an optimized crystal structure of AcHo4Er2, from the Alexandria database.

## Properties
Its crystal system is triclinic. The total magnetization comes out at 0.000 μB/atom. For the mass density, the calculation gives 8.9 g/cm3.

```
data_AcHo4Er2
_chemical_formula_sum 'Ac2 Ho8 Er4'
_symmetry_space_group_name_H-M 'P 1'
_symmetry_Int_Tables_number 1
_symmetry_space_group_name_Hall 'P 1'
_cell_length_a 7.1087
_cell_length_b 8.5951
_cell_length_c 8.8803
_cell_angle_alpha 114.29
_cell_angle_beta 101.47
_cell_angle_gamma 102.09
loop_
_atom_site_label
_atom_site_type_symbol
_atom_site_fract_x
_atom_site_fract_y
_atom_site_fract_z
Ac1 Ac 0.0000 0.0000 0.0000
Ac2 Ac 0.0938 0.5329 0.8375
Ho1 Ho 0.1964 0.0987 0.6679
Ho2 Ho 0.2794 0.8409 0.2744
Ho3 Ho 0.3009 0.6639 0.5415
Ho4 Ho 0.3987 0.4362 0.1400
Ho5 Ho 0.5960 0.5491 0.8436
Ho6 Ho 0.6846 0.1009 0.6711
Ho7 Ho 0.7985 0.6608 0.5439
Ho8 Ho 0.9105 0.2565 0.4030
Er1 Er 0.4206 0.2635 0.4164
Er2 Er 0.5005 0.9985 0.0084
Er3 Er 0.7740 0.8374 0.2773
Er4 Er 0.8858 0.4389 0.1390
```


#Q
The following is a PBE-GGA calculation of an optimized crystal structure of AcHo4Er2, from the Alexandria database.

## Properties
Its crystal system is triclinic. The total magnetization comes out at 0.000 μB/atom. For the mass density, the calculation gives 8.8 g/cm3.

```
data_AcHo4Er2
_chemical_formula_sum 'Ac2 Ho8 Er4'
_symmetry_space_group_name_H-M 'P 1'
_symmetry_Int_Tables_number 1
_symmetry_space_group_name_Hall 'P 1'
_cell_length_a 6.8156
_cell_length_b 8.4678
_cell_length_c 9.2724
_cell_angle_alpha 65.65
_cell_angle_beta 71.91
_cell_angle_gamma 77.06
loop_
_atom_site_label
_atom_site_type_symbol
_atom_site_fract_x
_atom_site_fract_y
_atom_site_fract_z
Ac1 Ac 0.0000 0.0000 0.0000
Ac2 Ac 0.4731 0.8892 0.1342
Ho1 Ho 0.0415 0.1848 0.2746
Ho2 Ho 0.2862 0.1384 0.5727
Ho3 Ho 0.4314 0.7039 0.8593
Ho4 Ho 0.5644 0.2845 0.1547
Ho5 Ho 0.6174 0.4641 0.4174
Ho6 Ho 0.7163 0.8476 0.4433
Ho7 Ho 0.7566 0.0411 0.6912
Ho8 Ho 0.9087 0.6048 0.9791
Er1 Er 0.1334 0.5531 0.2994
Er2 Er 0.1862 0.7504 0.5617
Er3 Er 0.3395 0.3360 0.8349
Er4 Er 0.8557 0.4255 0.7171
```


Which is the most stable structure? #Q is the most stable.


#P
The following is a PBE-GGA calculation of an optimized crystal structure of AcSmHoEr, from the Alexandria database.

## Properties
Its crystal system is orthorhombic. The total magnetization comes out at 0.000 μB/atom. For the mass density, the calculation gives 8.3 g/cm3.

```
data_AcSmHoEr
_chemical_formula_sum 'Ac1 Sm1 Ho1 Er1'
_symmetry_space_group_name_H-M 'P m m 2'
_symmetry_Int_Tables_number 25
_symmetry_space_group_name_Hall 'P 2 -2'
_cell_length_a 3.5175
_cell_length_b 5.7281
_cell_length_c 7.0108
_cell_angle_alpha 90.00
_cell_angle_beta 90.00
_cell_angle_gamma 90.00
loop_
_atom_site_label
_atom_site_type_symbol
_atom_site_fract_x
_atom_site_fract_y
_atom_site_fract_z
Ac1 Ac 0.0000 0.0000 0.0000
Sm1 Sm 0.0000 0.5000 0.2839
Ho1 Ho 0.0000 0.0000 0.5183
Er1 Er 0.5000 0.5000 0.7411
```


#Q
The following is a PBE-GGA calculation of an optimized crystal structure of AcSmHoEr, from the Alexandria database.

## Properties
Its crystal system is cubic. The total magnetization comes out at 0.000 μB/atom. For the mass density, the calculation gives 8.4 g/cm3.

```
data_AcSmHoEr
_chemical_formula_sum 'Ac4 Sm4 Ho4 Er4'
_symmetry_space_group_name_H-M 'F -4 3 m'
_symmetry_Int_Tables_number 216
_symmetry_space_group_name_Hall 'F -4 2 3'
_cell_length_a 8.2517
_cell_length_b 8.2517
_cell_length_c 8.2517
_cell_angle_alpha 90.00
_cell_angle_beta 90.00
_cell_angle_gamma 90.00
loop_
_atom_site_label
_atom_site_type_symbol
_atom_site_fract_x
_atom_site_fract_y
_atom_site_fract_z
Ac1 Ac 0.0000 0.0000 0.0000
Sm1 Sm 0.0000 0.0000 0.5000
Ho1 Ho 0.2500 0.2500 0.7500
Er1 Er 0.2500 0.2500 0.2500
```


Which is the most stable structure? #Q is the most stable.


#P
The following is a PBE-GGA calculation of an optimized crystal structure of AcYHoEr, from the Alexandria database.

## Properties
Its crystal system is trigonal. The total magnetization comes out at 0.000 μB/atom. For the mass density, the calculation gives 7.8 g/cm3.

```
data_AcYHoEr
_chemical_formula_sum 'Ac3 Y3 Ho3 Er3'
_symmetry_space_group_name_H-M 'R 3 m'
_symmetry_Int_Tables_number 160
_symmetry_space_group_name_Hall 'R 3 -2"'
_cell_length_a 3.6805
_cell_length_b 3.6805
_cell_length_c 35.3035
_cell_angle_alpha 90.00
_cell_angle_beta 90.00
_cell_angle_gamma 120.00
loop_
_atom_site_label
_atom_site_type_symbol
_atom_site_fract_x
_atom_site_fract_y
_atom_site_fract_z
Ac1 Ac 0.0000 0.0000 0.0000
Y1 Y 0.0000 0.0000 0.5779
Ho1 Ho 0.0000 0.0000 0.7531
Er1 Er 0.0000 0.0000 0.1648
```


#Q
The following is a PBE-GGA calculation of an optimized crystal structure of AcYHoEr, from the Alexandria database.

## Properties
Its crystal system is cubic. The total magnetization comes out at 0.000 μB/atom. For the mass density, the calculation gives 7.7 g/cm3.

```
data_AcYHoEr
_chemical_formula_sum 'Ac4 Y4 Ho4 Er4'
_symmetry_space_group_name_H-M 'F -4 3 m'
_symmetry_Int_Tables_number 216
_symmetry_space_group_name_Hall 'F -4 2 3'
_cell_length_a 8.2230
_cell_length_b 8.2230
_cell_length_c 8.2230
_cell_angle_alpha 90.00
_cell_angle_beta 90.00
_cell_angle_gamma 90.00
loop_
_atom_site_label
_atom_site_type_symbol
_atom_site_fract_x
_atom_site_fract_y
_atom_site_fract_z
Ac1 Ac 0.0000 0.0000 0.0000
Y1 Y 0.2500 0.2500 0.7500
Ho1 Ho 0.2500 0.2500 0.2500
Er1 Er 0.0000 0.0000 0.5000
```


Which is the most stable structure? #P is the most stable.